Record 1
This record from Alexandria describes a geometry-optimized Tb3TeAsSe structure. The functional is PBE.

Values from the calculation:
Its formation energy from raw total energies is -1.320 eV per atom.

Lattice parameters (Å, degrees): 8.154 8.154 6.956 97.74 97.74 129.13
Fractional positions:
Tb (0.169, 0.314, 0.998)
Tb (0.249, 0.751, 0.750)
Tb (0.314, 0.169, 0.498)
Tb (0.686, 0.831, 0.502)
Tb (0.751, 0.249, 0.250)
Tb (0.831, 0.686, 0.002)
Te (0.251, 0.749, 0.250)
Te (0.749, 0.251, 0.750)
As (0.063, 0.937, 0.750)
As (0.937, 0.063, 0.250)
Se (0.440, 0.560, 0.750)
Se (0.560, 0.440, 0.250)

***

Record 2
This record from Alexandria describes a geometry-optimized Ca3MgP structure. The functional is PBE.

Values from the calculation:
The value obtained for the formation energy is -0.532 eV/atom.

Lattice parameters (Å, degrees): 4.889 4.889 12.426 101.32 101.32 90.01
Fractional positions:
Ca (0.040, 0.540, 0.579)
Ca (0.250, 0.750, 0.000)
Ca (0.395, 0.895, 0.290)
Ca (0.540, 0.040, 0.579)
Ca (0.750, 0.250, 0.000)
Ca (0.895, 0.395, 0.290)
Mg (0.146, 0.146, 0.790)
Mg (0.646, 0.646, 0.790)
P (0.325, 0.325, 0.150)
P (0.964, 0.964, 0.429)